# PBEsol FeReSi, relaxed
data_FeReSi
_space_group_name_H-M_alt 'F -4 3 m'
_space_group_IT_number 216
_space_group_name_Hall 'F -4 2 3'
_cell_length_a 5.458
_cell_length_b 5.458
_cell_length_c 5.458
_cell_angle_alpha 90.00
_cell_angle_beta 90.00
_cell_angle_gamma 90.00
loop_
_atom_site_label
_atom_site_fract_x
_atom_site_fract_y
_atom_site_fract_z
Fe1 0.000 0.000 0.000
Re1 0.250 0.250 0.250
Si1 0.250 0.250 0.750
# Total moment: 0.0 μB/f.u.
# Uncorrected formation energy: -0.176 eV per atom
# Density: 11035 kg/m³
# Final energy: -28.57 eV per formula unit